i:
An optimized crystal structure of BaLu2O4, computed with PBEsol.

Computed properties:
Space group: Pnma (62)
ρ, g/cm3: 9.08
Crystal system: orthorhombic
D(E_F), states/eV per cell: 0.0

Geometry as CIF:
```
data_BaLu2O4
_chemical_formula_sum 'Ba4 Lu8 O16'
_space_group_name_H-M_alt 'P 1'
_space_group_IT_number 1
_space_group_name_Hall 'P 1'
_cell_length_a 3.3496
_cell_length_b 10.2055
_cell_length_c 11.7962
_cell_angle_alpha 90.00
_cell_angle_beta 90.00
_cell_angle_gamma 90.00
loop_
_atom_site_label
_atom_site_type_symbol
_atom_site_fract_x
_atom_site_fract_y
_atom_site_fract_z
Ba1 Ba 0.2500 0.2533 0.1505
Ba2 Ba 0.7500 0.2467 0.6505
Ba3 Ba 0.2500 0.7533 0.3495
Ba4 Ba 0.7500 0.7467 0.8495
Lu1 Lu 0.2500 0.4224 0.8924
Lu2 Lu 0.2500 0.4274 0.3899
Lu3 Lu 0.7500 0.0726 0.8899
Lu4 Lu 0.7500 0.0776 0.3924
Lu5 Lu 0.2500 0.9224 0.6076
Lu6 Lu 0.2500 0.9274 0.1101
Lu7 Lu 0.7500 0.5726 0.6101
Lu8 Lu 0.7500 0.5776 0.1076
O1 O 0.7500 0.4811 0.7826
O2 O 0.2500 0.4320 0.5739
O3 O 0.7500 0.3876 0.0169
O4 O 0.7500 0.2905 0.3472
O5 O 0.2500 0.2095 0.8472
O6 O 0.2500 0.1124 0.5169
O7 O 0.7500 0.0680 0.0739
O8 O 0.2500 0.0189 0.2826
O9 O 0.7500 0.9811 0.7174
O10 O 0.2500 0.9320 0.9261
O11 O 0.7500 0.8876 0.4831
O12 O 0.7500 0.7905 0.1528
O13 O 0.2500 0.7095 0.6528
O14 O 0.2500 0.6124 0.9831
O15 O 0.7500 0.5680 0.4261
O16 O 0.2500 0.5189 0.2174
```

***

ii:
An optimized crystal structure of BaLu2O4, computed with PBEsol.

Computed properties:
Space group: Cmcm (63)
ρ, g/cm3: 8.97
Crystal system: orthorhombic
D(E_F), states/eV per cell: 0.0

Geometry as CIF:
```
data_BaLu2O4
_chemical_formula_sum 'Ba2 Lu4 O8'
_space_group_name_H-M_alt 'P 1'
_space_group_IT_number 1
_space_group_name_Hall 'P 1'
_cell_length_a 3.3319
_cell_length_b 5.7228
_cell_length_c 11.1946
_cell_angle_alpha 90.00
_cell_angle_beta 90.00
_cell_angle_gamma 106.92
loop_
_atom_site_label
_atom_site_type_symbol
_atom_site_fract_x
_atom_site_fract_y
_atom_site_fract_z
Ba1 Ba 0.1128 0.2256 0.2500
Ba2 Ba 0.8872 0.7744 0.7500
Lu1 Lu 0.3653 0.7305 0.0698
Lu2 Lu 0.3653 0.7305 0.4302
Lu3 Lu 0.6347 0.2695 0.9302
Lu4 Lu 0.6347 0.2695 0.5698
O1 O 0.0000 0.0000 0.5000
O2 O 0.0000 0.0000 0.0000
O3 O 0.4307 0.8613 0.2500
O4 O 0.2597 0.5194 0.9001
O5 O 0.2597 0.5194 0.5999
O6 O 0.5693 0.1387 0.7500
O7 O 0.7403 0.4806 0.0999
O8 O 0.7403 0.4806 0.4001
```

***

Stability, lowest: ii

***

i:
An optimized crystal structure of Ba4Mg3, computed with PBEsol.

Computed properties:
Space group: I4/mmm (139)
ρ, g/cm3: 3.44
Crystal system: tetragonal
D(E_F), states/eV per cell: 6.2

Geometry as CIF:
```
data_Ba4Mg3
_chemical_formula_sum 'Ba4 Mg3'
_space_group_name_H-M_alt 'P 1'
_space_group_IT_number 1
_space_group_name_Hall 'P 1'
_cell_length_a 4.2293
_cell_length_b 4.2293
_cell_length_c 17.0546
_cell_angle_alpha 97.12
_cell_angle_beta 97.12
_cell_angle_gamma 90.00
loop_
_atom_site_label
_atom_site_type_symbol
_atom_site_fract_x
_atom_site_fract_y
_atom_site_fract_z
Mg1 Mg 0.0000 0.0000 0.0000
Mg2 Mg 0.2712 0.2712 0.5424
Mg3 Mg 0.7288 0.7288 0.4576
Ba1 Ba 0.1641 0.1641 0.3282
Ba2 Ba 0.4361 0.4361 0.8721
Ba3 Ba 0.5639 0.5639 0.1279
Ba4 Ba 0.8359 0.8359 0.6718
```

***

ii:
An optimized crystal structure of Ba4Mg3, computed with PBEsol.

Computed properties:
Space group: P6/mmm (191)
ρ, g/cm3: 3.62
Crystal system: hexagonal
D(E_F), states/eV per cell: 8.2

Geometry as CIF:
```
data_Ba4Mg3
_chemical_formula_sum 'Ba4 Mg3'
_space_group_name_H-M_alt 'P 1'
_space_group_IT_number 1
_space_group_name_Hall 'P 1'
_cell_length_a 6.7364
_cell_length_b 6.7364
_cell_length_c 7.2546
_cell_angle_alpha 90.00
_cell_angle_beta 90.00
_cell_angle_gamma 120.00
loop_
_atom_site_label
_atom_site_type_symbol
_atom_site_fract_x
_atom_site_fract_y
_atom_site_fract_z
Mg1 Mg 0.0000 0.5000 0.0000
Mg2 Mg 0.5000 0.0000 0.0000
Mg3 Mg 0.5000 0.5000 0.0000
Ba1 Ba 0.0000 0.0000 0.7576
Ba2 Ba 0.0000 0.0000 0.2424
Ba3 Ba 0.3333 0.6667 0.5000
Ba4 Ba 0.6667 0.3333 0.5000
```

***

Stability, lowest: ii

***

i:
An optimized crystal structure of BaMgMn2, computed with PBEsol.

Computed properties:
Space group: C2/m (12)
ρ, g/cm3: 4.61
Crystal system: monoclinic
D(E_F), states/eV per cell: 3.2

Geometry as CIF:
```
data_BaMgMn2
_chemical_formula_sum 'Ba1 Mg1 Mn2'
_space_group_name_H-M_alt 'P 1'
_space_group_IT_number 1
_space_group_name_Hall 'P 1'
_cell_length_a 3.1803
_cell_length_b 4.9051
_cell_length_c 6.6925
_cell_angle_alpha 97.27
_cell_angle_beta 90.00
_cell_angle_gamma 108.92
loop_
_atom_site_label
_atom_site_type_symbol
_atom_site_fract_x
_atom_site_fract_y
_atom_site_fract_z
Ba1 Ba 0.5000 0.0000 0.0000
Mg1 Mg 0.0000 0.0000 0.5000
Mn1 Mn 0.7386 0.4772 0.6517
Mn2 Mn 0.2614 0.5228 0.3483
```

***

ii:
An optimized crystal structure of BaMgMn2, computed with PBEsol.

Computed properties:
Space group: F-43m (216)
ρ, g/cm3: 4.62
Crystal system: cubic
D(E_F), states/eV per cell: 4.6

Geometry as CIF:
```
data_BaMgMn2
_chemical_formula_sum 'Ba1 Mg1 Mn2'
_space_group_name_H-M_alt 'P 1'
_space_group_IT_number 1
_space_group_name_Hall 'P 1'
_cell_length_a 5.1696
_cell_length_b 5.1696
_cell_length_c 5.1696
_cell_angle_alpha 60.00
_cell_angle_beta 60.00
_cell_angle_gamma 60.00
loop_
_atom_site_label
_atom_site_type_symbol
_atom_site_fract_x
_atom_site_fract_y
_atom_site_fract_z
Ba1 Ba 0.5000 0.5000 0.5000
Mg1 Mg 0.2500 0.2500 0.2500
Mn1 Mn 0.0000 0.0000 0.0000
Mn2 Mn 0.7500 0.7500 0.7500
```

***

Stability, lowest: ii

***

i:
An optimized crystal structure of Ba2MgP, computed with PBEsol.

Computed properties:
Space group: P4mm (99)
ρ, g/cm3: 4.32
Crystal system: tetragonal
D(E_F), states/eV per cell: 2.0

Geometry as CIF:
```
data_Ba2MgP
_chemical_formula_sum 'Ba2 Mg1 P1'
_space_group_name_H-M_alt 'P 1'
_space_group_IT_number 1
_space_group_name_Hall 'P 1'
_cell_length_a 4.3155
_cell_length_b 4.3155
_cell_length_c 6.8074
_cell_angle_alpha 90.00
_cell_angle_beta 90.00
_cell_angle_gamma 90.00
loop_
_atom_site_label
_atom_site_type_symbol
_atom_site_fract_x
_atom_site_fract_y
_atom_site_fract_z
Ba1 Ba 0.0000 0.0000 0.9520
Ba2 Ba 0.5000 0.5000 0.2804
Mg1 Mg 0.0000 0.0000 0.5108
P1 P 0.5000 0.5000 0.7567
```

***

ii:
An optimized crystal structure of Ba2MgP, computed with PBEsol.

Computed properties:
Space group: Cmm2 (35)
ρ, g/cm3: 3.98
Crystal system: orthorhombic
D(E_F), states/eV per cell: 3.0

Geometry as CIF:
```
data_Ba2MgP
_chemical_formula_sum 'Ba2 Mg1 P1'
_space_group_name_H-M_alt 'P 1'
_space_group_IT_number 1
_space_group_name_Hall 'P 1'
_cell_length_a 3.8331
_cell_length_b 3.8331
_cell_length_c 9.4047
_cell_angle_alpha 90.00
_cell_angle_beta 90.00
_cell_angle_gamma 94.40
loop_
_atom_site_label
_atom_site_type_symbol
_atom_site_fract_x
_atom_site_fract_y
_atom_site_fract_z
Ba1 Ba 0.0000 0.0000 0.0981
Ba2 Ba 0.5000 0.5000 0.6731
Mg1 Mg 0.0000 0.0000 0.4223
P1 P 0.5000 0.5000 0.3065
```

***

Stability, lowest: i

***

i:
An optimized crystal structure of BaMg2Pb2, computed with PBEsol.

Computed properties:
Space group: P4/nmm (129)
ρ, g/cm3: 6.67
Crystal system: tetragonal
D(E_F), states/eV per cell: 2.2

Geometry as CIF:
```
data_BaMg2Pb2
_chemical_formula_sum 'Ba2 Mg4 Pb4'
_space_group_name_H-M_alt 'P 1'
_space_group_IT_number 1
_space_group_name_Hall 'P 1'
_cell_length_a 4.9335
_cell_length_b 4.9335
_cell_length_c 12.2799
_cell_angle_alpha 90.00
_cell_angle_beta 90.00
_cell_angle_gamma 90.00
loop_
_atom_site_label
_atom_site_type_symbol
_atom_site_fract_x
_atom_site_fract_y
_atom_site_fract_z
Ba1 Ba 0.0000 0.5000 0.7504
Ba2 Ba 0.5000 0.0000 0.2496
Mg1 Mg 0.5000 0.0000 0.6359
Mg2 Mg 0.0000 0.5000 0.3641
Mg3 Mg 0.5000 0.5000 0.0000
Mg4 Mg 0.0000 0.0000 0.0000
Pb1 Pb 0.5000 0.0000 0.8656
Pb2 Pb 0.0000 0.5000 0.1344
Pb3 Pb 0.0000 0.0000 0.5000
Pb4 Pb 0.5000 0.5000 0.5000
```

***

ii:
An optimized crystal structure of BaMg2Pb2, computed with PBEsol.

Computed properties:
Space group: I4/mmm (139)
ρ, g/cm3: 6.54
Crystal system: tetragonal
D(E_F), states/eV per cell: 2.6

Geometry as CIF:
```
data_BaMg2Pb2
_chemical_formula_sum 'Ba1 Mg2 Pb2'
_space_group_name_H-M_alt 'P 1'
_space_group_IT_number 1
_space_group_name_Hall 'P 1'
_cell_length_a 4.8658
_cell_length_b 4.8658
_cell_length_c 7.2993
_cell_angle_alpha 109.47
_cell_angle_beta 109.47
_cell_angle_gamma 90.00
loop_
_atom_site_label
_atom_site_type_symbol
_atom_site_fract_x
_atom_site_fract_y
_atom_site_fract_z
Pb1 Pb 0.3811 0.3811 0.7622
Pb2 Pb 0.6189 0.6189 0.2378
Mg1 Mg 0.2500 0.7500 0.5000
Mg2 Mg 0.7500 0.2500 0.5000
Ba1 Ba 0.0000 0.0000 0.0000
```

***

Stability, lowest: ii

***

i:
An optimized crystal structure of Ba2MgRu, computed with PBEsol.

Computed properties:
Space group: Cm (8)
ρ, g/cm3: 4.52
Crystal system: monoclinic
D(E_F), states/eV per cell: 1.2

Geometry as CIF:
```
data_Ba2MgRu
_chemical_formula_sum 'Ba2 Mg1 Ru1'
_space_group_name_H-M_alt 'P 1'
_space_group_IT_number 1
_space_group_name_Hall 'P 1'
_cell_length_a 4.5886
_cell_length_b 4.5787
_cell_length_c 8.4992
_cell_angle_alpha 105.45
_cell_angle_beta 90.00
_cell_angle_gamma 120.07
loop_
_atom_site_label
_atom_site_type_symbol
_atom_site_fract_x
_atom_site_fract_y
_atom_site_fract_z
Ba1 Ba 0.0402 0.0805 0.1198
Ba2 Ba 0.2086 0.4172 0.6301
Mg1 Mg 0.4586 0.9172 0.3749
Ru1 Ru 0.7926 0.5852 0.3752
```

***

ii:
An optimized crystal structure of Ba2MgRu, computed with PBEsol.

Computed properties:
Space group: Amm2 (38)
ρ, g/cm3: 5.06
Crystal system: orthorhombic
D(E_F), states/eV per cell: 2.3

Geometry as CIF:
```
data_Ba2MgRu
_chemical_formula_sum 'Ba2 Mg1 Ru1'
_space_group_name_H-M_alt 'P 1'
_space_group_IT_number 1
_space_group_name_Hall 'P 1'
_cell_length_a 4.6690
_cell_length_b 4.7622
_cell_length_c 6.3618
_cell_angle_alpha 111.98
_cell_angle_beta 90.00
_cell_angle_gamma 90.00
loop_
_atom_site_label
_atom_site_type_symbol
_atom_site_fract_x
_atom_site_fract_y
_atom_site_fract_z
Ba1 Ba 0.0000 0.1075 0.2150
Ba2 Ba 0.5000 0.3906 0.7811
Mg1 Mg 0.0000 0.8000 0.5999
Ru1 Ru 0.5000 0.7040 0.4080
```

***

Stability, lowest: ii

***

i:
An optimized crystal structure of BaMgSb, computed with PBEsol.

Computed properties:
Space group: Imm2 (44)
ρ, g/cm3: 4.97
Crystal system: orthorhombic
D(E_F), states/eV per cell: 2.3

Geometry as CIF:
```
data_BaMgSb
_chemical_formula_sum 'Ba1 Mg1 Sb1'
_space_group_name_H-M_alt 'P 1'
_space_group_IT_number 1
_space_group_name_Hall 'P 1'
_cell_length_a 3.6288
_cell_length_b 4.2912
_cell_length_c 6.7028
_cell_angle_alpha 108.67
_cell_angle_beta 105.71
_cell_angle_gamma 90.00
loop_
_atom_site_label
_atom_site_type_symbol
_atom_site_fract_x
_atom_site_fract_y
_atom_site_fract_z
Sb1 Sb 0.6961 0.6961 0.3922
Mg1 Mg 0.2990 0.2990 0.5979
Ba1 Ba 0.0050 0.0050 0.0099
```

***

ii:
An optimized crystal structure of BaMgSb, computed with PBEsol.

Computed properties:
Space group: P-6m2 (187)
ρ, g/cm3: 4.75
Crystal system: hexagonal
D(E_F), states/eV per cell: 1.7

Geometry as CIF:
```
data_BaMgSb
_chemical_formula_sum 'Ba1 Mg1 Sb1'
_space_group_name_H-M_alt 'P 1'
_space_group_IT_number 1
_space_group_name_Hall 'P 1'
_cell_length_a 4.8360
_cell_length_b 4.8360
_cell_length_c 4.8946
_cell_angle_alpha 90.00
_cell_angle_beta 90.00
_cell_angle_gamma 120.00
loop_
_atom_site_label
_atom_site_type_symbol
_atom_site_fract_x
_atom_site_fract_y
_atom_site_fract_z
Sb1 Sb 0.6667 0.3333 0.5000
Mg1 Mg 0.3333 0.6667 0.5000
Ba1 Ba 0.0000 0.0000 0.0000
```

***

Stability, lowest: i